# Tm4Ge8Rh

A geometry-optimized Tm4Ge8Rh structure (PBE, Alexandria).

Output
SG = Pmm2 (25)
energy = -70.3 eV for the cell shown
Fermi-level density of states = 0.396 states/eV per atom

a b c (Å): 3.992 4.087 16.067
angles (deg): 90.00 90.00 90.00
Element x y z (fractional)
Tm 0.000 0.000 0.000
Tm 0.000 0.500 0.486
Tm 0.500 0.000 0.789
Tm 0.500 0.500 0.284
Ge 0.000 0.000 0.329
Ge 0.000 0.000 0.619
Ge 0.000 0.500 0.140
Ge 0.000 0.500 0.856
Ge 0.500 0.000 0.145
Ge 0.500 0.000 0.435
Ge 0.500 0.500 0.618
Ge 0.500 0.500 0.958
Rh 0.000 0.500 0.706

***

# Rb2YI7

A geometry-optimized Rb2YI7 structure (PBE, Alexandria).

Output
SG = I4/mmm (139)
energy = -29.0 eV for the cell shown
formation energy (no corrections) = -977.5 meV per atom
Fermi-level density of states = 0.549 states/eV per atom

a b c (Å): 9.356 9.356 9.356
angles (deg): 123.33 123.33 84.32
Element x y z (fractional)
Rb 0.250 0.750 0.500
Rb 0.750 0.250 0.500
Y 0.000 0.000 0.000
I 0.217 0.217 0.000
I 0.241 0.241 0.481
I 0.241 0.759 0.000
I 0.500 0.500 0.000
I 0.759 0.241 0.000
I 0.759 0.759 0.519
I 0.783 0.783 0.000

***

# Tb2CePm6

A geometry-optimized Tb2CePm6 structure (PBE, Alexandria).

Output
SG = C2/m (12)
energy = -42.3 eV for the cell shown
Fermi-level density of states = 1.959 states/eV per atom

a b c (Å): 6.267 6.267 8.862
angles (deg): 105.40 105.40 68.27
Element x y z (fractional)
Tb 0.226 0.226 0.467
Tb 0.774 0.774 0.533
Ce 0.000 0.000 0.000
Pm 0.202 0.678 0.297
Pm 0.322 0.798 0.703
Pm 0.337 0.337 0.911
Pm 0.663 0.663 0.089
Pm 0.678 0.202 0.297
Pm 0.798 0.322 0.703

***

# PmDyAu2

A geometry-optimized PmDyAu2 structure (PBE, Alexandria).

Output
SG = P4/mmm (123)
polymorph energy (0 for the lowest one) = 0.08 eV/f.u.
energy = -19.2 eV for the cell shown
Fermi-level density of states = 0.513 states/eV per atom

a b c (Å): 3.618 3.618 7.389
angles (deg): 90.00 90.00 90.00
Element x y z (fractional)
Pm 0.000 0.000 0.000
Dy 0.000 0.000 0.500
Au 0.500 0.500 0.267
Au 0.500 0.500 0.733

***

# Tl4Pt

A geometry-optimized Tl4Pt structure (PBE, Alexandria).

Output
SG = I4/m (87)
polymorph energy (0 for the lowest one) = 0.20 eV/f.u.
energy = -15.5 eV for the cell shown
Fermi-level density of states = 0.635 states/eV per atom

a b c (Å): 6.614 6.614 6.614
angles (deg): 93.67 93.67 150.67
Element x y z (fractional)
Tl 0.068 0.736 0.804
Tl 0.264 0.068 0.332
Tl 0.736 0.932 0.668
Tl 0.932 0.264 0.196
Pt 0.500 0.500 0.000

***

# ZrHO2

A geometry-optimized ZrHO2 structure (PBE, Alexandria).

Output
SG = I-42d (122)
energy = -57.8 eV for the cell shown
Fermi-level density of states = 0.000 states/eV per atom

a b c (Å): 6.472 6.472 6.472
angles (deg): 120.07 120.07 89.88
Element x y z (fractional)
Zr 0.000 0.000 0.000
Zr 0.750 0.250 0.500
H 0.250 0.750 0.500
H 0.500 0.500 0.000
O 0.375 0.128 0.253
O 0.872 0.125 0.247
O 0.875 0.122 0.747
O 0.878 0.625 0.753

***

# LiPaSe2

A geometry-optimized LiPaSe2 structure (PBE, Alexandria).

Output
SG = R3m (160)
polymorph energy (0 for the lowest one) = 0.16 eV/f.u.
energy = -23.3 eV for the cell shown
formation energy (no corrections) = -1231.0 meV per atom
Fermi-level density of states = 1.184 states/eV per atom

a b c (Å): 7.501 7.501 7.501
angles (deg): 30.29 30.29 30.29
Element x y z (fractional)
Li 0.000 0.000 0.000
Pa 0.172 0.172 0.172
Se 0.592 0.592 0.592
Se 0.754 0.754 0.754

***

# YTh2Pb

A geometry-optimized YTh2Pb structure (PBE, Alexandria).

Output
SG = P4/mmm (123)
polymorph energy (0 for the lowest one) = 0.00 eV/f.u.
energy = -25.9 eV for the cell shown
Fermi-level density of states = 1.340 states/eV per atom

a b c (Å): 4.803 4.803 5.216
angles (deg): 90.00 90.00 90.00
Element x y z (fractional)
Y 0.000 0.000 0.000
Th 0.000 0.500 0.500
Th 0.500 0.000 0.500
Pb 0.500 0.500 0.000

***

V readings, ordered: 20.16, 54.70, 34.02, 24.18, 27.41, 23.94, 23.79, 30.08 Å³/atom